Entry 1:
Material: SbTe2Ir
Method: DFT, PBE
State: optimized geometry

Its formation energy (no corrections) is 0.29 eV/atom.

The space group is I4/mmm (No. 139) and the conventional cell measures 5.848, 5.848 and 5.760 Å, with angles of 90.00, 90.00 and 90.00 degrees. The distinct sites, in fractional coordinates, are Sb at (0.000, 0.000, 0.000), Te at (0.000, 0.500, 0.000) and Ir at (0.000, 0.000, 0.500).

Entry 2:
Material: Sb2TeIr
Method: DFT, PBE
State: optimized geometry

Its formation energy (no corrections) is 0.21 eV/atom.

The space group is P4mm (No. 99) and the conventional cell measures 3.178, 3.178 and 9.552 Å, with angles of 90.00, 90.00 and 90.00 degrees. The distinct sites, in fractional coordinates, are Sb at (0.000, 0.000, 0.000), Sb at (0.500, 0.500, 0.300), Te at (0.000, 0.000, 0.624) and Ir at (0.500, 0.500, 0.820).

Entry 3:
Material: Sb2TeIr
Method: DFT, PBE
State: optimized geometry

Its formation energy (no corrections) is 0.28 eV/atom.

The space group is I4/mmm (No. 139) and the conventional cell measures 5.801, 5.801 and 5.791 Å, with angles of 90.00, 90.00 and 90.00 degrees. The distinct sites, in fractional coordinates, are Sb at (0.000, 0.500, 0.000), Te at (0.000, 0.000, 0.000) and Ir at (0.000, 0.000, 0.500).

Entry 4:
Material: SbTe2Ir
Method: DFT, PBE
State: optimized geometry

Its formation energy (no corrections) is 0.01 eV/atom.

The space group is Cm (No. 8) and the conventional cell measures 11.769, 3.852 and 5.779 Å, with angles of 90.00, 116.19 and 90.00 degrees. The distinct sites, in fractional coordinates, are Sb at (0.000, 0.000, 0.000), Te at (0.207, 0.500, 0.729), Te at (0.368, 0.500, 0.378) and Ir at (0.349, 0.000, 0.047).

Entry 5:
Material: Sb2TeIr
Method: DFT, PBE
State: optimized geometry

Its formation energy (no corrections) is 0.13 eV/atom.

The space group is Immm (No. 71) and the conventional cell measures 3.270, 4.959 and 12.033 Å, with angles of 90.00, 90.00 and 90.00 degrees. The distinct sites, in fractional coordinates, are Sb at (0.000, 0.000, 0.184), Te at (0.000, 0.500, 0.000) and Ir at (0.000, 0.500, 0.500).

Entry 6:
Material: SbTe2Ir
Method: DFT, PBE
State: optimized geometry

Its formation energy (no corrections) is 0.55 eV/atom.

The space group is P4/mmm (No. 123) and the conventional cell measures 5.107, 5.107 and 3.489 Å, with angles of 90.00, 90.00 and 90.00 degrees. The distinct sites, in fractional coordinates, are Sb at (0.000, 0.000, 0.000), Te at (0.000, 0.500, 0.500) and Ir at (0.500, 0.500, 0.000).

Entry 7:
Material: SbTe2Ir
Method: DFT, PBE
State: optimized geometry

Its formation energy (no corrections) is 0.33 eV/atom.

The space group is Cmmm (No. 65) and the conventional cell measures 4.581, 4.589 and 9.425 Å, with angles of 90.00, 90.00 and 90.00 degrees. The distinct sites, in fractional coordinates, are Sb at (0.000, 0.000, 0.000), Te at (0.000, 0.500, 0.318) and Ir at (0.000, 0.000, 0.500).

Entry 8:
Material: Sb2TeIr
Method: DFT, PBE
State: optimized geometry

Its formation energy (no corrections) is 0.10 eV/atom.

The space group is Pm (No. 6) and the conventional cell measures 3.708, 3.711 and 7.711 Å, with angles of 90.00, 103.78 and 90.00 degrees. The distinct sites, in fractional coordinates, are Sb at (0.000, 0.000, 0.000), Sb at (0.374, 0.500, 0.747), Te at (0.686, 0.500, 0.368) and Ir at (0.812, 0.000, 0.622).

Entry 9:
Material: SbTe2Ir
Method: DFT, PBE
State: optimized geometry

Its formation energy (no corrections) is 0.15 eV/atom.

The space group is Pmm2 (No. 25) and the conventional cell measures 3.087, 3.477 and 9.553 Å, with angles of 90.00, 90.00 and 90.00 degrees. The distinct sites, in fractional coordinates, are Sb at (0.000, 0.000, 0.000), Te at (0.000, 0.000, 0.346), Te at (0.500, 0.500, 0.689) and Ir at (0.500, 0.500, 0.178).

Entry 10:
Material: Sb2TeIr
Method: DFT, PBE
State: optimized geometry

Its formation energy (no corrections) is 0.13 eV/atom.

The space group is Imm2 (No. 44) and the conventional cell measures 3.635, 4.598 and 12.103 Å, with angles of 90.00, 90.00 and 90.00 degrees. The distinct sites, in fractional coordinates, are Sb at (0.000, 0.000, 0.000), Sb at (0.000, 0.500, 0.166), Te at (0.000, 0.500, 0.822) and Ir at (0.000, 0.000, 0.493).

Entry 11:
Material: SbTe2Ir
Method: DFT, PBE
State: optimized geometry

Its formation energy (no corrections) is 0.00 eV/atom.

The space group is R-3m (No. 166, hexagonal axes) and the conventional cell measures 3.9522, 3.9522 and 26.6182 Å, with angles of 90.00, 90.00 and 120.00 degrees. The distinct sites, in fractional coordinates, are Sb at (0.0000, 0.0000, 0.0000), Te at (0.0000, 0.0000, 0.1154) and Ir at (0.0000, 0.0000, 0.5000).

Entry 12:
Material: SbTe4Ir
Method: DFT, PBE
State: optimized geometry

Its formation energy (no corrections) is 1.15 eV/atom.

The space group is F-43m (No. 216) and the conventional cell measures 8.705, 8.705 and 8.705 Å, with angles of 90.00, 90.00 and 90.00 degrees. The distinct sites, in fractional coordinates, are Sb at (0.000, 0.000, 0.000), Te at (0.124, 0.124, 0.624) and Ir at (0.250, 0.250, 0.250).

Repeat the seventh record exactly.
Material: SbTe2Ir
Method: DFT, PBE
State: optimized geometry

Its formation energy (no corrections) is 0.33 eV/atom.

The space group is Cmmm (No. 65) and the conventional cell measures 4.581, 4.589 and 9.425 Å, with angles of 90.00, 90.00 and 90.00 degrees. The distinct sites, in fractional coordinates, are Sb at (0.000, 0.000, 0.000), Te at (0.000, 0.500, 0.318) and Ir at (0.000, 0.000, 0.500).

Q: The lowest formation energy (no corrections) belongs to which entry?
A: number 11